TaMnOs: relaxed, PBEsol.

Output
ΔH_f (0 K) = 0.42 eV/atom
magnetization = 0.000 μB/f.u.
calculated total energy = -11.089 eV/atom

a b c (Å): 5.7366 5.7366 5.7366
angles (deg): 90.00 90.00 90.00
Element x y z (fractional)
Ta1 0.0000 0.0000 0.0000
Ta2 0.0000 0.5000 0.5000
Ta3 0.5000 0.0000 0.5000
Ta4 0.5000 0.5000 0.0000
Mn1 0.2500 0.2500 0.2500
Mn2 0.2500 0.7500 0.7500
Mn3 0.7500 0.2500 0.7500
Mn4 0.7500 0.7500 0.2500
Os1 0.0000 0.0000 0.5000
Os2 0.0000 0.5000 0.0000
Os3 0.5000 0.0000 0.0000
Os4 0.5000 0.5000 0.5000

=====

NiGe: relaxed, PBEsol.

Output
ΔH_f (0 K) = -0.37 eV/atom
magnetization = 0.000 μB/f.u.
calculated total energy = -5.918 eV/atom

a b c (Å): 5.3314 3.4350 5.7058
angles (deg): 90.00 90.00 90.00
Element x y z (fractional)
Ni1 0.0073 0.2500 0.1879
Ni2 0.4927 0.7500 0.6879
Ni3 0.5073 0.2500 0.3121
Ni4 0.9927 0.7500 0.8121
Ge1 0.1883 0.2500 0.5889
Ge2 0.3117 0.7500 0.0889
Ge3 0.6883 0.2500 0.9111
Ge4 0.8117 0.7500 0.4111

=====

Fe2HgMo: relaxed, PBEsol.

Output
ΔH_f (0 K) = 0.43 eV/atom
magnetization = 3.938 μB/f.u.
calculated total energy = -7.136 eV/atom

a b c (Å): 2.8948 4.3796 8.8858
angles (deg): 90.00 90.00 90.00
Element x y z (fractional)
Fe1 0.0000 0.0000 0.0000
Fe2 0.0000 0.5000 0.2899
Fe3 0.5000 0.0000 0.7899
Fe4 0.5000 0.5000 0.5000
Hg1 0.0000 0.0000 0.5302
Hg2 0.5000 0.5000 0.0302
Mo1 0.0000 0.5000 0.7477
Mo2 0.5000 0.0000 0.2477

=====

LiHgSbN2: relaxed, PBEsol.

Output
formation energy from raw total energies = 1663 meV/atom
magnetization = 2.647 μB/f.u.
calculated total energy = -3.166 eV/atom

a b c (Å): 4.2349 4.2349 5.7616
angles (deg): 90.00 90.00 90.00
Element x y z (fractional)
Li1 0.0000 0.0000 0.0000
Hg1 0.5000 0.5000 0.5000
Sb1 0.5000 0.5000 0.0000
N1 0.0000 0.5000 0.5000
N2 0.5000 0.0000 0.5000